A relaxed structure of Ce4BiH4. Source: Alexandria, functional GGA-PBE.

Cell lengths 4.715, 8.238, 8.238 Å; angles 90.00, 90.00, 90.00 degrees
Fractional positions:
H1 0.500 0.151 0.378
H2 0.000 0.878 0.349
H3 0.000 0.122 0.651
H4 0.500 0.849 0.622
H5 0.500 0.378 0.849
H6 0.000 0.651 0.878
H7 0.000 0.349 0.122
H8 0.500 0.622 0.151
Ce1 0.500 0.886 0.303
Ce2 0.000 0.197 0.386
Ce3 0.500 0.697 0.886
Ce4 0.500 0.114 0.697
Ce5 0.000 0.386 0.803
Ce6 0.000 0.614 0.197
Ce7 0.500 0.303 0.114
Ce8 0.000 0.803 0.614
Bi1 0.500 0.500 0.500
Bi2 0.000 0.000 0.000

VASP energy	-5.00	eV/atom
space-group type	I4/m
calculated density	8.028	g/cm3

A relaxed structure of KSe2Br2. Source: Alexandria, functional GGA-PBE.

Cell lengths 8.368, 8.368, 4.062 Å; angles 90.00, 90.00, 90.00 degrees
Fractional positions:
K1 0.500 0.500 0.000
K2 0.000 0.000 0.000
Se1 0.170 0.670 0.500
Se2 0.330 0.170 0.500
Se3 0.670 0.830 0.500
Se4 0.830 0.330 0.500
Br1 0.840 0.660 0.000
Br2 0.660 0.160 0.000
Br3 0.160 0.340 0.000
Br4 0.340 0.840 0.000

space-group type	P4/mbm
energy relative to the elements, uncorrected	-17.6	meV/atom
energy relative to the lowest polymorph listed for this composition	598	meV per atom
calculated density	4.166	g/cm3

A relaxed structure of AgCBrO2. Source: Alexandria, functional GGA-PBE.

Cell lengths 3.836, 7.419, 3.836 Å; angles 90.00, 90.00, 90.00 degrees
Fractional positions:
Br1 0.000 0.500 0.000
C1 0.500 0.500 0.500
O1 0.500 0.000 0.000
O2 0.000 0.000 0.500
Ag1 0.000 0.000 0.000

space-group type	P4/mmm
energy relative to the elements, uncorrected	1687.9	meV/atom
energy relative to the lowest polymorph listed for this composition	2556	meV per atom
calculated density	3.526	g/cm3

A relaxed structure of CuPCl2. Source: Alexandria, functional GGA-PBE.

Cell lengths 3.016, 3.016, 7.872 Å; angles 90.00, 90.00, 90.00 degrees
Fractional positions:
Cu1 0.500 0.500 0.250
Cl1 0.000 0.000 0.451
Cl2 0.000 0.000 0.049
P1 0.500 0.500 0.750

space-group type	P4/mmm
energy relative to the elements, uncorrected	517.9	meV/atom
energy relative to the lowest polymorph listed for this composition	864	meV per atom
calculated density	3.836	g/cm3

A relaxed structure of ThCdPdRh. Source: Alexandria, functional GGA-PBE.

Cell lengths 4.881, 4.881, 4.881 Å; angles 60.00, 60.00, 60.00 degrees
Fractional positions:
Th1 0.750 0.750 0.750
Rh1 0.000 0.000 0.000
Pd1 0.500 0.500 0.500
Cd1 0.250 0.250 0.250

space-group type	F-43m
ΔE_f	-0.609	eV/atom
calculated density	11.183	g/cm3

A relaxed structure of Tb3Ce4ErTe8. Source: Alexandria, functional GGA-PBE.

Cell lengths 8.796, 8.900, 8.797 Å; angles 119.62, 120.00, 90.00 degrees
Fractional positions:
Tb1 0.500 0.500 0.500
Tb2 0.000 0.500 0.500
Tb3 0.500 0.500 0.000
Te1 0.755 0.261 0.006
Te2 0.245 0.739 0.490
Te3 0.252 0.261 0.006
Te4 0.755 0.261 0.510
Te5 0.245 0.739 0.994
Te6 0.747 0.740 0.494
Te7 0.253 0.260 0.506
Te8 0.748 0.739 0.994
Er1 0.000 0.500 0.000
Ce1 0.500 0.000 0.000
Ce2 0.000 0.000 0.000
Ce3 0.000 0.000 0.500
Ce4 0.500 0.000 0.500

space-group type	R-3m
energy relative to the elements, uncorrected	-1335.4	meV/atom
calculated density	7.544	g/cm3

| no. | size of the total moment (μB/f.u.) |
| --- | --- |
| 1 | 4.78 |
| 2 | 0.00 |
| 3 | 1.32 |
| 4 | 0.00 |
| 5 | 0.00 |
| 6 | 2.37 |